{
  "formula": "NaLaHg2",
  "functional": "PBE-GGA",
  "state": "relaxed",
  "lattice": [[5.362, 0.000, 0.000], [0.000, 7.544, 0.000], [0.000, 0.000, 16.061]],
  "species": ["Hg", "Hg", "Hg", "Hg", "Hg", "Hg", "Hg", "Hg", "Hg", "Hg", "Hg", "Hg", "La", "La", "La", "La", "La", "La", "Na", "Na", "Na", "Na", "Na", "Na"],
  "fractional_positions": [[0.500, 0.251, 0.000], [0.500, 0.749, 0.000], [0.013, 0.249, 0.166], [0.013, 0.751, 0.166], [0.513, 0.251, 0.334], [0.513, 0.749, 0.334], [0.000, 0.249, 0.500], [0.000, 0.751, 0.500], [0.487, 0.251, 0.666], [0.487, 0.749, 0.666], [0.987, 0.249, 0.834], [0.987, 0.751, 0.834], [0.000, 0.500, 0.000], [0.511, 0.000, 0.167], [0.011, 0.500, 0.333], [0.500, 0.000, 0.500], [0.989, 0.500, 0.667], [0.489, 0.000, 0.833], [0.000, 0.000, 0.000], [0.512, 0.500, 0.168], [0.012, 0.000, 0.332], [0.500, 0.500, 0.500], [0.988, 0.000, 0.668], [0.488, 0.500, 0.832]],
  "space_group": "No. 58",
  "relative_energy_ev_per_atom": 0.000,
  "final_energy_ev_per_atom": -2.12
}



{
  "formula": "NaLaHg2",
  "functional": "PBE-GGA",
  "state": "relaxed",
  "lattice": [[-2.618, 1.938, -4.246], [-5.522, -5.039, 1.103], [-7.646, 10.456, 9.488]],
  "species": ["Hg", "Hg", "Hg", "Hg", "Hg", "Hg", "Hg", "Hg", "Hg", "Hg", "Hg", "Hg", "La", "La", "La", "La", "La", "La", "Na", "Na", "Na", "Na", "Na", "Na"],
  "fractional_positions": [[0.500, 0.250, 0.000], [0.500, 0.750, 0.000], [0.000, 0.250, 0.167], [0.000, 0.750, 0.167], [0.500, 0.250, 0.333], [0.500, 0.750, 0.333], [0.000, 0.250, 0.500], [0.000, 0.750, 0.500], [0.500, 0.250, 0.667], [0.500, 0.750, 0.667], [0.000, 0.250, 0.833], [0.000, 0.750, 0.833], [0.000, 0.000, 0.000], [0.500, 0.500, 0.167], [0.000, 0.000, 0.333], [0.500, 0.500, 0.500], [0.000, 0.000, 0.667], [0.500, 0.500, 0.833], [0.000, 0.500, 0.000], [0.500, 0.000, 0.167], [0.000, 0.500, 0.333], [0.500, 0.000, 0.500], [0.000, 0.500, 0.667], [0.500, 0.000, 0.833]],
  "space_group": "No. 139",
  "relative_energy_ev_per_atom": 0.000,
  "final_energy_ev_per_atom": -2.12
}



{
  "formula": "NaLaHg2",
  "functional": "PBE-GGA",
  "state": "relaxed",
  "lattice": [[-0.953, -1.590, 5.109], [0.985, -5.153, -1.420], [3.657, 0.470, 0.829]],
  "species": ["Hg", "Hg", "La", "Na"],
  "fractional_positions": [[0.500, 0.000, 0.500], [0.000, 0.500, 0.500], [0.000, 0.000, 0.000], [0.500, 0.500, 0.000]],
  "space_group": "No. 123",
  "relative_energy_ev_per_atom": 0.049,
  "final_energy_ev_per_atom": -2.07
}



{
  "formula": "NaLaHg2",
  "functional": "PBE-GGA",
  "state": "relaxed",
  "lattice": [[-5.908, -4.228, 1.530], [2.699, -5.532, -4.865], [3.786, -3.209, 5.749]],
  "species": ["Hg", "Hg", "Hg", "Hg", "Hg", "Hg", "Hg", "Hg", "La", "La", "La", "La", "Na", "Na", "Na", "Na"],
  "fractional_positions": [[0.503, 0.002, 0.244], [0.503, 0.498, 0.244], [0.003, 0.502, 0.256], [0.003, 0.998, 0.256], [0.997, 0.002, 0.744], [0.997, 0.498, 0.744], [0.497, 0.502, 0.756], [0.497, 0.998, 0.756], [0.244, 0.250, 0.000], [0.744, 0.750, 0.500], [0.256, 0.250, 0.500], [0.756, 0.750, 0.000], [0.252, 0.750, 0.005], [0.752, 0.250, 0.495], [0.248, 0.750, 0.505], [0.748, 0.250, 0.995]],
  "space_group": "No. 62",
  "relative_energy_ev_per_atom": 0.055,
  "final_energy_ev_per_atom": -2.07
}



{
  "formula": "NaLaHg2",
  "functional": "PBE-GGA",
  "state": "relaxed",
  "lattice": [[-0.209, 7.426, -1.407], [-5.057, 0.185, 1.727], [3.466, 1.981, 9.937]],
  "species": ["Hg", "Hg", "Hg", "Hg", "Hg", "Hg", "Hg", "Hg", "La", "La", "La", "La", "Na", "Na", "Na", "Na"],
  "fractional_positions": [[0.999, 0.750, 0.127], [0.501, 0.750, 0.127], [0.001, 0.250, 0.373], [0.499, 0.250, 0.373], [0.501, 0.750, 0.627], [0.999, 0.750, 0.627], [0.499, 0.250, 0.873], [0.001, 0.250, 0.873], [0.250, 0.250, 0.124], [0.750, 0.750, 0.376], [0.250, 0.250, 0.624], [0.750, 0.750, 0.876], [0.750, 0.250, 0.124], [0.250, 0.750, 0.376], [0.750, 0.250, 0.624], [0.250, 0.750, 0.876]],
  "space_group": "No. 59",
  "relative_energy_ev_per_atom": 0.000,
  "final_energy_ev_per_atom": -2.12
}



{
  "formula": "NaLaHgO3",
  "functional": "PBE-GGA",
  "state": "relaxed",
  "lattice": [[6.067, -1.923, 0.000], [6.067, 1.923, 0.000], [0.000, 0.000, 9.066]],
  "species": ["Hg", "Hg", "La", "La", "Na", "Na", "O", "O", "O", "O", "O", "O"],
  "fractional_positions": [[0.362, 0.362, 0.250], [0.638, 0.638, 0.750], [0.000, 0.000, 0.000], [0.000, 0.000, 0.500], [0.653, 0.653, 0.250], [0.347, 0.347, 0.750], [0.373, 0.373, 0.028], [0.045, 0.045, 0.250], [0.373, 0.373, 0.472], [0.627, 0.627, 0.528], [0.955, 0.955, 0.750], [0.627, 0.627, 0.972]],
  "space_group": "No. 63",
  "final_energy_ev_per_atom": -5.37
}



{
  "formula": "NaLaHgTe3",
  "functional": "PBE-GGA",
  "state": "relaxed",
  "lattice": [[-2.235, 8.119, 2.760], [0.897, -1.217, 4.307], [10.466, 0.950, -1.911]],
  "species": ["Hg", "Hg", "La", "La", "Na", "Na", "Te", "Te", "Te", "Te", "Te", "Te"],
  "fractional_positions": [[0.905, 0.750, 0.392], [0.095, 0.250, 0.608], [0.687, 0.250, 0.147], [0.313, 0.750, 0.853], [0.221, 0.250, 0.241], [0.779, 0.750, 0.759], [0.947, 0.750, 0.138], [0.439, 0.750, 0.160], [0.747, 0.250, 0.469], [0.253, 0.750, 0.531], [0.561, 0.250, 0.840], [0.053, 0.250, 0.862]],
  "space_group": "No. 11",
  "relative_energy_ev_per_atom": 0.017,
  "final_energy_ev_per_atom": -3.59
}



{
  "formula": "NaLaHgTe3",
  "functional": "PBE-GGA",
  "state": "relaxed",
  "lattice": [[7.443, -2.260, 0.000], [7.443, 2.260, 0.000], [0.000, 0.000, 12.055]],
  "species": ["Hg", "Hg", "La", "La", "Na", "Na", "Te", "Te", "Te", "Te", "Te", "Te"],
  "fractional_positions": [[0.470, 0.470, 0.250], [0.530, 0.530, 0.750], [0.000, 0.000, 0.000], [0.000, 0.000, 0.500], [0.770, 0.770, 0.250], [0.230, 0.230, 0.750], [0.353, 0.353, 0.063], [0.094, 0.094, 0.250], [0.353, 0.353, 0.437], [0.647, 0.647, 0.563], [0.906, 0.906, 0.750], [0.647, 0.647, 0.937]],
  "space_group": "No. 63",
  "relative_energy_ev_per_atom": 0.000,
  "final_energy_ev_per_atom": -3.61
}